<a>
NdSm2Eu | PBE-GGA | relaxed

POSCAR file:
```
NdSm2Eu
1.0
0.0000 4.1466 4.1466
4.1466 0.0000 4.1466
4.1466 4.1466 0.0000
Nd Sm Eu
1 2 1
direct
0.0000 0.0000 0.0000
0.2500 0.2500 0.2500
0.7500 0.7500 0.7500
0.5000 0.5000 0.5000
```

## Properties
* crystal system: cubic
* size of the total moment: 8.417 μB/f.u.
* space group: Fm-3m, No. 225

***

<b>
NdSm2Eu | PBE-GGA | relaxed

POSCAR file:
```
NdSm2Eu
1.0
3.6982 0.0000 0.0000
0.0000 3.6982 0.0000
0.0000 0.0000 10.4763
Nd Sm Eu
1 2 1
direct
0.0000 0.0000 0.0000
0.5000 0.5000 0.2380
0.5000 0.5000 0.7620
0.0000 0.0000 0.5000
```

## Properties
* crystal system: tetragonal
* size of the total moment: 7.525 μB/f.u.
* space group: P4/mmm, No. 123

***

Which structure loses on stability? <a> does.

***

<a>
NdSm2Eu | PBE-GGA | relaxed

POSCAR file:
```
NdSm2Eu
1.0
5.2069 0.0000 0.0000
0.0000 5.2069 0.0000
0.0000 0.0000 5.2168
Nd Sm Eu
1 2 1
direct
0.0000 0.0000 0.0000
0.0000 0.5000 0.5000
0.5000 0.0000 0.5000
0.5000 0.5000 0.0000
```

## Properties
* crystal system: tetragonal
* size of the total moment: 7.108 μB/f.u.
* space group: P4/mmm, No. 123

***

<b>
NdSm2Eu | PBE-GGA | relaxed

POSCAR file:
```
NdSm2Eu
1.0
1.8063 1.0429 12.8034
-1.8063 1.0429 12.8034
0.0000 -2.0858 12.8034
Nd Sm Eu
1 2 1
direct
0.0000 0.0000 0.0000
0.4100 0.4100 0.4100
0.5900 0.5900 0.5900
0.5000 0.5000 0.5000
```

## Properties
* crystal system: trigonal
* size of the total moment: 7.736 μB/f.u.
* space group: R-3m, No. 166

***

Which structure loses on stability? <b> does.

***

<a>
NdEuSn2 | PBE-GGA | relaxed

POSCAR file:
```
NdEuSn2
1.0
1.9553 1.1289 9.6471
-1.9553 1.1289 9.6471
0.0000 -2.2578 9.6471
Nd Eu Sn
1 1 2
direct
0.0000 0.0000 0.0000
0.5000 0.5000 0.5000
0.2508 0.2508 0.2508
0.7492 0.7492 0.7492
```

## Properties
* crystal system: trigonal
* size of the total moment: 6.997 μB/f.u.
* space group: R-3m, No. 166

***

<b>
NdEuSn2 | PBE-GGA | relaxed

POSCAR file:
```
NdEuSn2
1.0
0.0000 3.9052 3.9052
3.9052 0.0000 3.9052
3.9052 3.9052 0.0000
Nd Eu Sn
1 1 2
direct
0.0000 0.0000 0.0000
0.5000 0.5000 0.5000
0.2500 0.2500 0.2500
0.7500 0.7500 0.7500
```

## Properties
* crystal system: cubic
* size of the total moment: 6.995 μB/f.u.
* space group: Fm-3m, No. 225

***

<c>
NdEuSn2 | PBE-GGA | relaxed

POSCAR file:
```
NdEuSn2
1.0
3.5618 0.0000 0.0000
0.0000 3.5618 0.0000
0.0000 0.0000 9.1756
Nd Eu Sn
1 1 2
direct
0.0000 0.0000 0.0000
0.0000 0.0000 0.5000
0.5000 0.5000 0.2473
0.5000 0.5000 0.7527
```

## Properties
* crystal system: tetragonal
* size of the total moment: 6.983 μB/f.u.
* space group: P4/mmm, No. 123

***

Which structure loses on stability? <a> does.

***

<a>
NdEu2Sn | PBE-GGA | relaxed

POSCAR file:
```
NdEu2Sn
1.0
1.8458 1.0657 12.1128
-1.8458 1.0657 12.1128
0.0000 -2.1313 12.1128
Nd Eu Sn
1 2 1
direct
0.0000 0.0000 0.0000
0.0971 0.0971 0.0971
0.9029 0.9029 0.9029
0.5000 0.5000 0.5000
```

## Properties
* crystal system: trigonal
* size of the total moment: 15.021 μB/f.u.
* space group: R-3m, No. 166

***

<b>
NdEu2Sn | PBE-GGA | relaxed

POSCAR file:
```
NdEu2Sn
1.0
4.3311 0.0000 0.0000
0.0000 4.3311 0.0000
0.0000 0.0000 7.0476
Nd Eu Sn
1 2 1
direct
0.0000 0.0000 0.0000
0.5000 0.5000 0.2743
0.5000 0.5000 0.7257
0.0000 0.0000 0.5000
```

## Properties
* crystal system: tetragonal
* size of the total moment: 14.597 μB/f.u.
* space group: P4/mmm, No. 123

***

<c>
NdEu2Sn | PBE-GGA | relaxed

POSCAR file:
```
NdEu2Sn
1.0
4.9444 0.0000 0.0000
0.0000 4.9444 0.0000
0.0000 0.0000 5.2064
Nd Eu Sn
1 2 1
direct
0.0000 0.0000 0.0000
0.0000 0.5000 0.5000
0.5000 0.0000 0.5000
0.5000 0.5000 0.0000
```

## Properties
* crystal system: tetragonal
* size of the total moment: 14.796 μB/f.u.
* space group: P4/mmm, No. 123

***

Which structure loses on stability? <a> does.

***

<a>
Tb2NdEu | PBE-GGA | relaxed

POSCAR file:
```
Tb2NdEu
1.0
5.1586 0.0000 0.0000
0.0000 5.1586 0.0000
0.0000 0.0000 5.1581
Tb Nd Eu
2 1 1
direct
0.0000 0.5000 0.0000
0.5000 0.0000 0.0000
0.0000 0.0000 0.5000
0.5000 0.5000 0.5000
```

## Properties
* crystal system: tetragonal
* size of the total moment: 7.100 μB/f.u.
* space group: P4/mmm, No. 123

***

<b>
Tb2NdEu | PBE-GGA | relaxed

POSCAR file:
```
Tb2NdEu
1.0
3.6671 0.0000 0.0000
0.0000 3.6671 0.0000
0.0000 0.0000 10.3429
Tb Nd Eu
2 1 1
direct
0.0000 0.0000 0.2382
0.0000 0.0000 0.7618
0.5000 0.5000 0.0000
0.5000 0.5000 0.5000
```

## Properties
* crystal system: tetragonal
* size of the total moment: 7.589 μB/f.u.
* space group: P4/mmm, No. 123

***

<c>
Tb2NdEu | PBE-GGA | relaxed

POSCAR file:
```
Tb2NdEu
1.0
1.7894 1.0331 12.6691
-1.7894 1.0331 12.6691
0.0000 -2.0662 12.6691
Tb Nd Eu
2 1 1
direct
0.0901 0.0901 0.0901
0.9099 0.9099 0.9099
0.5000 0.5000 0.5000
0.0000 0.0000 0.0000
```

## Properties
* crystal system: trigonal
* size of the total moment: 7.732 μB/f.u.
* space group: R-3m, No. 166

***

Which structure loses on stability? <c> does.

***

<a>
TbNd2Eu | PBE-GGA | relaxed

POSCAR file:
```
TbNd2Eu
1.0
5.2145 0.0000 0.0000
0.0000 5.2145 0.0000
0.0000 0.0000 5.1831
Tb Nd Eu
1 2 1
direct
0.0000 0.0000 0.0000
0.0000 0.5000 0.5000
0.5000 0.0000 0.5000
0.5000 0.5000 0.0000
```

## Properties
* crystal system: tetragonal
* size of the total moment: 7.090 μB/f.u.
* space group: P4/mmm, No. 123

***

<b>
TbNd2Eu | PBE-GGA | relaxed

POSCAR file:
```
TbNd2Eu
1.0
0.0000 4.1422 4.1422
4.1422 0.0000 4.1422
4.1422 4.1422 0.0000
Tb Nd Eu
1 2 1
direct
0.0000 0.0000 0.0000
0.2500 0.2500 0.2500
0.7500 0.7500 0.7500
0.5000 0.5000 0.5000
```

## Properties
* crystal system: cubic
* size of the total moment: 7.948 μB/f.u.
* space group: Fm-3m, No. 225

***

Which structure loses on stability? <b> does.

***

<a>
NdEuTe | PBE-GGA | relaxed

POSCAR file:
```
NdEuTe
1.0
-1.9943 1.9943 6.4643
1.9943 -1.9943 6.4643
1.9943 1.9943 -6.4643
Nd Eu Te
1 1 1
direct
0.0000 0.0000 0.0000
0.7109 0.7109 0.0000
0.3714 0.3714 0.0000
```

## Properties
* crystal system: tetragonal
* size of the total moment: 8.123 μB/f.u.
* space group: I4mm, No. 107

***

<b>
NdEuTe | PBE-GGA | relaxed

POSCAR file:
```
NdEuTe
1.0
5.3749 0.0000 0.0000
-2.6874 4.6548 0.0000
0.0000 0.0000 4.2491
Nd Eu Te
1 1 1
direct
0.0000 0.0000 0.0000
0.6667 0.3333 0.5004
0.3333 0.6667 0.9975
```

## Properties
* crystal system: trigonal
* size of the total moment: 8.262 μB/f.u.
* space group: P3m1, No. 156

***

Which structure loses on stability? <b> does.

***

<a>
Nd2EuTh | PBE-GGA | relaxed

POSCAR file:
```
Nd2EuTh
1.0
0.0000 4.1355 4.1355
4.1355 0.0000 4.1355
4.1355 4.1355 0.0000
Nd Eu Th
2 1 1
direct
0.2500 0.2500 0.2500
0.7500 0.7500 0.7500
0.0000 0.0000 0.0000
0.5000 0.5000 0.5000
```

## Properties
* crystal system: cubic
* size of the total moment: 6.465 μB/f.u.
* space group: Fm-3m, No. 225

***

<b>
Nd2EuTh | PBE-GGA | relaxed

POSCAR file:
```
Nd2EuTh
1.0
5.2035 0.0000 0.0000
0.0000 5.2035 0.0000
0.0000 0.0000 5.1430
Nd Eu Th
2 1 1
direct
0.0000 0.5000 0.0000
0.5000 0.0000 0.0000
0.0000 0.0000 0.5000
0.5000 0.5000 0.5000
```

## Properties
* crystal system: tetragonal
* size of the total moment: 7.242 μB/f.u.
* space group: P4/mmm, No. 123

***

Which structure loses on stability? <a> does.

***

<a>
NdEuTl | PBE-GGA | relaxed

POSCAR file:
```
NdEuTl
1.0
5.4434 0.0000 0.0000
-2.7217 4.7141 0.0000
0.0000 0.0000 3.8024
Nd Eu Tl
1 1 1
direct
0.0000 0.0000 0.0000
0.3333 0.6667 0.5768
0.6667 0.3333 0.2287
```

## Properties
* crystal system: trigonal
* size of the total moment: 7.098 μB/f.u.
* space group: P3m1, No. 156

***

<b>
NdEuTl | PBE-GGA | relaxed

POSCAR file:
```
NdEuTl
1.0
0.0000 3.8354 3.8354
3.8354 0.0000 3.8354
3.8354 3.8354 0.0000
Nd Eu Tl
1 1 1
direct
0.0000 0.0000 0.0000
0.5000 0.5000 0.5000
0.7500 0.7500 0.7500
```

## Properties
* crystal system: cubic
* size of the total moment: 7.447 μB/f.u.
* space group: F-43m, No. 216

***

Which structure loses on stability? <b> does.

***

<a>
NdEuTl2 | PBE-GGA | relaxed

POSCAR file:
```
NdEuTl2
1.0
0.0000 3.9394 3.9394
3.9394 0.0000 3.9394
3.9394 3.9394 0.0000
Nd Eu Tl
1 1 2
direct
0.0000 0.0000 0.0000
0.5000 0.5000 0.5000
0.2500 0.2500 0.2500
0.7500 0.7500 0.7500
```

## Properties
* crystal system: cubic
* size of the total moment: 7.576 μB/f.u.
* space group: Fm-3m, No. 225

***

<b>
NdEuTl2 | PBE-GGA | relaxed

POSCAR file:
```
NdEuTl2
1.0
3.9369 0.0000 0.0000
0.0000 3.9369 0.0000
0.0000 0.0000 7.9234
Nd Eu Tl
1 1 2
direct
0.0000 0.0000 0.0000
0.0000 0.0000 0.5000
0.5000 0.5000 0.2430
0.5000 0.5000 0.7570
```

## Properties
* crystal system: tetragonal
* size of the total moment: 7.179 μB/f.u.
* space group: P4/mmm, No. 123

***

<c>
NdEuTl2 | PBE-GGA | relaxed

POSCAR file:
```
NdEuTl2
1.0
1.9391 1.1195 10.0917
-1.9391 1.1195 10.0917
0.0000 -2.2390 10.0917
Nd Eu Tl
1 1 2
direct
0.0000 0.0000 0.0000
0.5000 0.5000 0.5000
0.2510 0.2510 0.2510
0.7490 0.7490 0.7490
```

## Properties
* crystal system: trigonal
* size of the total moment: 7.295 μB/f.u.
* space group: R-3m, No. 166

***

Which structure loses on stability? <c> does.

***

<a>
NdEuTm2 | PBE-GGA | relaxed

POSCAR file:
```
NdEuTm2
1.0
0.0000 4.0622 4.0622
4.0622 0.0000 4.0622
4.0622 4.0622 0.0000
Nd Eu Tm
1 1 2
direct
0.0000 0.0000 0.0000
0.5000 0.5000 0.5000
0.2500 0.2500 0.2500
0.7500 0.7500 0.7500
```

## Properties
* crystal system: cubic
* size of the total moment: 6.971 μB/f.u.
* space group: Fm-3m, No. 225

***

<b>
NdEuTm2 | PBE-GGA | relaxed

POSCAR file:
```
NdEuTm2
1.0
3.6451 0.0000 0.0000
0.0000 3.6451 0.0000
0.0000 0.0000 10.1562
Nd Eu Tm
1 1 2
direct
0.0000 0.0000 0.0000
0.0000 0.0000 0.5000
0.5000 0.5000 0.2379
0.5000 0.5000 0.7621
```

## Properties
* crystal system: tetragonal
* size of the total moment: 7.875 μB/f.u.
* space group: P4/mmm, No. 123

***

Which structure loses on stability? <a> does.

***

<a>
NdEuY2 | PBE-GGA | relaxed

POSCAR file:
```
NdEuY2
1.0
3.6848 0.0000 0.0000
0.0000 3.6848 0.0000
0.0000 0.0000 10.3226
Nd Eu Y
1 1 2
direct
0.0000 0.0000 0.0000
0.0000 0.0000 0.5000
0.5000 0.5000 0.2378
0.5000 0.5000 0.7622
```

## Properties
* crystal system: tetragonal
* size of the total moment: 7.853 μB/f.u.
* space group: P4/mmm, No. 123

***

<b>
NdEuY2 | PBE-GGA | relaxed

POSCAR file:
```
NdEuY2
1.0
5.1760 0.0000 0.0000
0.0000 5.1760 0.0000
0.0000 0.0000 5.1522
Nd Eu Y
1 1 2
direct
0.0000 0.0000 0.0000
0.5000 0.5000 0.0000
0.0000 0.5000 0.5000
0.5000 0.0000 0.5000
```

## Properties
* crystal system: tetragonal
* size of the total moment: 7.100 μB/f.u.
* space group: P4/mmm, No. 123

***

<c>
NdEuY2 | PBE-GGA | relaxed

POSCAR file:
```
NdEuY2
1.0
1.8318 1.0576 11.9508
-1.8318 1.0576 11.9508
0.0000 -2.1151 11.9508
Nd Eu Y
1 1 2
direct
0.0000 0.0000 0.0000
0.5000 0.5000 0.5000
0.2526 0.2526 0.2526
0.7474 0.7474 0.7474
```

## Properties
* crystal system: trigonal
* size of the total moment: 7.775 μB/f.u.
* space group: R-3m, No. 166

***

Which structure loses on stability? <b> does.

***

<a>
Nd2EuZr | PBE-GGA | relaxed

POSCAR file:
```
Nd2EuZr
1.0
5.0737 0.0000 0.0000
0.0000 5.0737 0.0000
0.0000 0.0000 4.9196
Nd Eu Zr
2 1 1
direct
0.0000 0.5000 0.0000
0.5000 0.0000 0.0000
0.0000 0.0000 0.5000
0.5000 0.5000 0.5000
```

## Properties
* crystal system: tetragonal
* size of the total moment: 7.059 μB/f.u.
* space group: P4/mmm, No. 123

***

<b>
Nd2EuZr | PBE-GGA | relaxed

POSCAR file:
```
Nd2EuZr
1.0
3.5571 0.0000 0.0000
0.0000 3.5571 0.0000
0.0000 0.0000 10.3378
Nd Eu Zr
2 1 1
direct
0.0000 0.0000 0.2185
0.0000 0.0000 0.7815
0.5000 0.5000 0.5000
0.5000 0.5000 0.0000
```

## Properties
* crystal system: tetragonal
* size of the total moment: 7.401 μB/f.u.
* space group: P4/mmm, No. 123

***

Which structure loses on stability? <a> does.